DFT (PBE-GGA) results for an optimized crystal structure of CsAsAu2Cl.

## Properties
The formation energy (no corrections) is 1.24 eV per atom. Its symmetry is P4/mmm. As for the energy: -7.72 eV for the cell shown.

Structure (POSCAR):
```
CsAsAu2Cl
1.0
6.083 0.000 0.000
0.000 7.341 0.000
0.000 0.000 6.083
Cs As Au Cl
1 1 2 1
Direct
0.000 0.000 0.000 Cs
0.000 0.500 0.000 As
0.000 0.000 0.500 Au
0.500 0.000 0.000 Au
0.500 0.500 0.500 Cl
```

***

DFT (PBE-GGA) results for an optimized crystal structure of CsRbAsAuCl.

## Properties
The formation energy (no corrections) is -0.97 eV per atom. Its symmetry is P3m1. As for the energy: -16.42 eV for the cell shown. Its energy above the most stable polymorph in this dataset is 0.004 eV/atom.

Structure (POSCAR):
```
CsRbAsAuCl
1.0
4.478 0.000 0.000
-2.239 3.878 0.000
0.000 0.000 9.990
Cs As Au Rb Cl
1 1 1 1 1
Direct
0.333 0.667 0.112 Cs
0.000 0.000 0.403 As
0.667 0.333 0.404 Au
0.333 0.667 0.677 Rb
0.667 0.333 0.883 Cl
```

***

DFT (PBE-GGA) results for an optimized crystal structure of CsRbAsAuCl.

## Properties
The formation energy (no corrections) is -0.71 eV per atom. Its symmetry is Pm. As for the energy: -15.12 eV for the cell shown. Its energy above the most stable polymorph in this dataset is 0.264 eV/atom.

Structure (POSCAR):
```
CsRbAsAuCl
1.0
-0.356 -4.246 -4.338
-2.582 -2.131 2.297
-5.677 4.594 -2.120
Cs As Au Rb Cl
1 1 1 1 1
Direct
0.840 0.500 0.469 Cs
0.767 0.000 0.022 As
0.525 0.000 0.740 Au
0.268 0.500 0.056 Rb
0.304 0.000 0.433 Cl
```

***

DFT (PBE-GGA) results for an optimized crystal structure of CsRbAsAuCl.

## Properties
The formation energy (no corrections) is -0.97 eV per atom. Its symmetry is R3m. As for the energy: -49.32 eV for the cell shown. Its energy above the most stable polymorph in this dataset is 0.000 eV/atom.

Structure (POSCAR):
```
CsRbAsAuCl
1.0
4.482 0.000 0.000
-2.241 3.882 0.000
0.000 0.000 29.884
Cs As Au Rb Cl
3 3 3 3 3
Direct
0.000 0.000 0.963 Cs
0.333 0.667 0.630 Cs
0.667 0.333 0.297 Cs
0.000 0.000 0.532 As
0.333 0.667 0.199 As
0.667 0.333 0.866 As
0.000 0.000 0.199 Au
0.333 0.667 0.865 Au
0.667 0.333 0.532 Au
0.000 0.000 0.774 Rb
0.333 0.667 0.441 Rb
0.667 0.333 0.107 Rb
0.000 0.000 0.372 Cl
0.333 0.667 0.039 Cl
0.667 0.333 0.706 Cl
```

***

DFT (PBE-GGA) results for an optimized crystal structure of CsRbAsAuCl.

## Properties
The formation energy (no corrections) is -0.34 eV per atom. Its symmetry is P1. As for the energy: -13.27 eV for the cell shown. Its energy above the most stable polymorph in this dataset is 0.634 eV/atom.

Structure (POSCAR):
```
CsRbAsAuCl
1.0
5.192 0.023 -0.037
1.400 6.205 0.012
0.089 0.008 7.066
Cs As Au Rb Cl
1 1 1 1 1
Direct
0.836 0.695 0.805 Cs
0.577 0.594 0.306 As
0.223 0.120 0.803 Au
0.204 0.143 0.303 Rb
0.003 0.673 0.304 Cl
```

***

DFT (PBE-GGA) results for an optimized crystal structure of CsRbAsAuCl.

## Properties
The formation energy (no corrections) is -0.70 eV per atom. Its symmetry is Pm. As for the energy: -15.09 eV for the cell shown. Its energy above the most stable polymorph in this dataset is 0.270 eV/atom.

Structure (POSCAR):
```
CsRbAsAuCl
1.0
-3.890 -3.513 -1.459
2.320 -3.217 1.559
-1.916 2.758 8.541
Cs As Au Rb Cl
1 1 1 1 1
Direct
0.529 0.500 0.971 Cs
0.358 0.000 0.619 As
0.220 0.000 0.348 Au
0.806 0.500 0.516 Rb
0.077 0.000 0.067 Cl
```

***

DFT (PBE-GGA) results for an optimized crystal structure of CsRbAsAuCl.

## Properties
The formation energy (no corrections) is -0.87 eV per atom. Its symmetry is Pm. As for the energy: -15.96 eV for the cell shown. Its energy above the most stable polymorph in this dataset is 0.096 eV/atom.

Structure (POSCAR):
```
CsRbAsAuCl
1.0
4.636 0.000 0.001
0.000 4.066 0.000
-0.028 0.000 9.815
Cs As Au Rb Cl
1 1 1 1 1
Direct
0.278 0.000 0.093 Cs
0.283 0.500 0.443 As
0.782 0.500 0.360 Au
0.784 0.000 0.664 Rb
0.777 0.500 0.919 Cl
```

***

DFT (PBE-GGA) results for an optimized crystal structure of CsRbAsAuCl.

## Properties
The formation energy (no corrections) is -0.86 eV per atom. Its symmetry is Imm2. As for the energy: -31.82 eV for the cell shown. Its energy above the most stable polymorph in this dataset is 0.106 eV/atom.

Structure (POSCAR):
```
CsRbAsAuCl
1.0
-2.152 4.004 0.704
-1.405 -0.007 -4.260
-15.587 -9.285 5.157
Cs As Au Rb Cl
2 2 2 2 2
Direct
0.000 0.500 0.954 Cs
0.500 0.000 0.454 Cs
0.000 0.000 0.275 As
0.500 0.500 0.775 As
0.000 0.500 0.323 Au
0.500 0.000 0.823 Au
0.000 0.000 0.669 Rb
0.500 0.500 0.169 Rb
0.000 0.500 0.540 Cl
0.500 0.000 0.040 Cl
```

***

DFT (PBE-GGA) results for an optimized crystal structure of CsRbAsAuCl.

## Properties
The formation energy (no corrections) is -0.87 eV per atom. Its symmetry is Amm2. As for the energy: -31.93 eV for the cell shown. Its energy above the most stable polymorph in this dataset is 0.095 eV/atom.

Structure (POSCAR):
```
CsRbAsAuCl
1.0
-3.436 -1.763 0.540
1.366 -3.468 -2.632
7.085 -9.031 15.577
Cs As Au Rb Cl
2 2 2 2 2
Direct
0.500 0.000 0.450 Cs
0.500 0.500 0.950 Cs
0.000 0.000 0.820 As
0.000 0.500 0.320 As
0.000 0.000 0.276 Au
0.000 0.500 0.776 Au
0.500 0.000 0.655 Rb
0.500 0.500 0.155 Rb
0.000 0.000 0.060 Cl
0.000 0.500 0.560 Cl
```

***

DFT (PBE-GGA) results for an optimized crystal structure of GeAsAu2Cl.

## Properties
The formation energy (no corrections) is 0.91 eV per atom. Its symmetry is P4/mmm. As for the energy: -13.13 eV for the cell shown.

Structure (POSCAR):
```
GeAsAu2Cl
1.0
4.835 0.000 0.000
0.000 5.186 0.000
0.000 0.000 4.835
As Au Ge Cl
1 2 1 1
Direct
0.500 0.500 0.500 As
0.000 0.000 0.500 Au
0.500 0.000 0.000 Au
0.000 0.500 0.000 Ge
0.000 0.000 0.000 Cl
```

***

DFT (PBE-GGA) results for an optimized crystal structure of La2AsAuCl.

## Properties
The formation energy (no corrections) is -0.46 eV per atom. Its symmetry is P4/mmm. As for the energy: -21.92 eV for the cell shown.

Structure (POSCAR):
```
La2AsAuCl
1.0
5.427 0.000 0.000
0.000 4.904 0.000
0.000 0.000 5.427
As Cl Au La
1 1 1 2
Direct
0.000 0.500 0.000 As
0.000 0.000 0.000 Cl
0.500 0.500 0.500 Au
0.000 0.000 0.500 La
0.500 0.000 0.000 La
```

***

DFT (PBE-GGA) results for an optimized crystal structure of La4AsAuCl2.

## Properties
The formation energy (no corrections) is -1.40 eV per atom. Its symmetry is P2/m. As for the energy: -42.57 eV for the cell shown.

Structure (POSCAR):
```
La4AsAuCl2
1.0
4.336 0.000 0.000
0.000 7.223 -0.030
0.000 2.664 7.176
La As Au Cl
4 1 1 2
Direct
0.000 0.747 0.758 La
0.000 0.253 0.242 La
0.500 0.747 0.247 La
0.500 0.253 0.753 La
0.500 0.500 0.000 As
0.000 0.500 0.500 Au
0.000 0.000 0.000 Cl
0.500 0.000 0.500 Cl
```

***

DFT (PBE-GGA) results for an optimized crystal structure of AsAuClO.

## Properties
The formation energy (no corrections) is -0.31 eV per atom. Its symmetry is Pm. As for the energy: -15.99 eV for the cell shown. Its energy above the most stable polymorph in this dataset is 0.133 eV/atom.

Structure (POSCAR):
```
AsAuClO
1.0
2.930 -0.001 0.006
-0.001 4.184 -0.020
-0.015 -0.862 7.364
As Au Cl O
1 1 1 1
Direct
0.507 0.109 0.394 As
0.507 0.184 0.064 Au
0.507 0.253 0.740 Cl
0.007 0.833 0.398 O
```

***

DFT (PBE-GGA) results for an optimized crystal structure of AsAuClO.

## Properties
The formation energy (no corrections) is -0.41 eV per atom. Its symmetry is Cm. As for the energy: -32.77 eV for the cell shown. Its energy above the most stable polymorph in this dataset is 0.033 eV/atom.

Structure (POSCAR):
```
AsAuClO
1.0
-1.987 -1.027 -2.441
-1.925 -2.193 2.489
-8.875 10.957 2.793
As Au Cl O
2 2 2 2
Direct
0.466 0.000 0.645 As
0.466 0.500 0.145 As
0.459 0.000 0.030 Au
0.459 0.500 0.530 Au
0.448 0.000 0.416 Cl
0.448 0.500 0.916 Cl
0.969 0.000 0.707 O
0.969 0.500 0.207 O
```

***

DFT (PBE-GGA) results for an optimized crystal structure of AsAuClO.

## Properties
The formation energy (no corrections) is -0.34 eV per atom. Its symmetry is Pm. As for the energy: -16.09 eV for the cell shown. Its energy above the most stable polymorph in this dataset is 0.107 eV/atom.

Structure (POSCAR):
```
AsAuClO
1.0
3.024 0.000 0.003
0.000 4.007 0.000
-0.045 0.000 7.882
As Au Cl O
1 1 1 1
Direct
0.395 0.500 0.285 As
0.391 0.000 0.093 Au
0.380 0.000 0.796 Cl
0.897 0.500 0.423 O
```

***

DFT (PBE-GGA) results for an optimized crystal structure of AsAuClO.

## Properties
The formation energy (no corrections) is -0.45 eV per atom. Its symmetry is P1. As for the energy: -16.52 eV for the cell shown. Its energy above the most stable polymorph in this dataset is 0.000 eV/atom.

Structure (POSCAR):
```
AsAuClO
1.0
3.952 0.000 0.000
-0.319 4.471 0.000
-1.763 -1.231 5.844
As Au Cl O
1 1 1 1
Direct
0.912 0.346 0.249 As
0.434 0.046 0.325 Au
0.739 0.339 0.872 Cl
0.978 0.736 0.367 O
```

***

DFT (PBE-GGA) results for an optimized crystal structure of AsAuClO.

## Properties
The formation energy (no corrections) is -0.19 eV per atom. Its symmetry is P1. As for the energy: -15.48 eV for the cell shown. Its energy above the most stable polymorph in this dataset is 0.259 eV/atom.

Structure (POSCAR):
```
AsAuClO
1.0
-1.404 -0.270 2.630
-3.033 -1.654 -0.173
4.533 -8.701 2.000
As Au Cl O
1 1 1 1
Direct
0.534 0.535 0.490 As
0.077 0.317 0.031 Au
0.272 0.003 0.675 Cl
0.938 0.766 0.399 O
```

***

DFT (PBE-GGA) results for an optimized crystal structure of AsAuClO.

## Properties
The formation energy (no corrections) is -0.38 eV per atom. Its symmetry is Cm. As for the energy: -32.51 eV for the cell shown. Its energy above the most stable polymorph in this dataset is 0.066 eV/atom.

Structure (POSCAR):
```
AsAuClO
1.0
6.333 0.000 -0.039
0.000 3.544 0.000
-4.635 0.000 9.495
As Au Cl O
2 2 2 2
Direct
0.219 0.000 0.338 As
0.219 0.500 0.838 As
0.258 0.000 0.573 Au
0.258 0.500 0.073 Au
0.831 0.000 0.208 Cl
0.831 0.500 0.708 Cl
0.287 0.000 0.787 O
0.287 0.500 0.287 O
```

***

DFT (PBE-GGA) results for an optimized crystal structure of AsAuClO.

## Properties
The formation energy (no corrections) is -0.45 eV per atom. Its symmetry is P1. As for the energy: -16.52 eV for the cell shown. Its energy above the most stable polymorph in this dataset is 0.001 eV/atom.

Structure (POSCAR):
```
AsAuClO
1.0
-0.721 0.381 -3.836
-4.339 -1.348 2.690
0.304 6.034 0.531
As Au Cl O
1 1 1 1
Direct
0.081 0.543 0.234 As
0.441 0.265 0.295 Au
0.103 0.587 0.879 Cl
0.251 0.885 0.405 O
```

***

DFT (PBE-GGA) results for an optimized crystal structure of AsAuClO.

## Properties
The formation energy (no corrections) is -0.31 eV per atom. Its symmetry is Pm. As for the energy: -15.98 eV for the cell shown. Its energy above the most stable polymorph in this dataset is 0.135 eV/atom.

Structure (POSCAR):
```
AsAuClO
1.0
-2.824 -3.316 -0.107
1.614 -1.433 1.791
-2.621 4.619 6.057
As Au Cl O
1 1 1 1
Direct
0.928 0.500 0.372 As
0.967 0.500 0.071 Au
0.079 0.500 0.785 Cl
0.647 0.000 0.368 O
```